# 1
VASP calculation (GGA-PBE) on a geometry-optimized Mg3Cd2Bi structure.

Structure (POSCAR):
```
Mg3Cd2Bi
1.0
2.522 -7.354 0.000
2.522 7.354 0.000
0.000 0.000 3.833
Mg Cd Bi
3 2 1
Direct
0.000 0.000 0.000
0.326 0.674 0.000
0.674 0.326 0.000
0.169 0.831 0.500
0.831 0.169 0.500
0.500 0.500 0.500
```

Computed properties:
- Fermi-level density of states: 2.33 states/eV/f.u.
- Crystal system: orthorhombic
- Space-group type: Cmmm (65)
- Total moment: 0.000 μB/atom
- Theoretical density: 5.918 g/cm³
- ΔH_f (0 K): -74 meV/atom

# 2
VASP calculation (GGA-PBE) on a geometry-optimized Mg2CdBi2 structure.

Structure (POSCAR):
```
Mg2CdBi2
1.0
-2.279 2.279 7.242
2.279 -2.279 7.242
2.279 2.279 -7.242
Mg Cd Bi
2 1 2
Direct
0.250 0.750 0.500
0.750 0.250 0.500
0.000 0.000 0.000
0.386 0.386 0.000
0.614 0.614 0.000
```

Computed properties:
- Fermi-level density of states: 3.19 states/eV/f.u.
- Crystal system: tetragonal
- Space-group type: I4/mmm (139)
- Total moment: 0.000 μB/atom
- Theoretical density: 6.391 g/cm³
- ΔH_f (0 K): 33 meV/atom

# 3
VASP calculation (GGA-PBE) on a geometry-optimized Mg2Cd2Bi structure.

Structure (POSCAR):
```
Mg2Cd2Bi
1.0
-2.086 2.086 7.414
2.086 -2.086 7.414
2.086 2.086 -7.414
Mg Cd Bi
2 2 1
Direct
0.099 0.099 0.000
0.901 0.901 0.000
0.250 0.750 0.500
0.750 0.250 0.500
0.500 0.500 0.000
```

Computed properties:
- Fermi-level density of states: 1.96 states/eV/f.u.
- Crystal system: tetragonal
- Space-group type: I4/mmm (139)
- Total moment: 0.000 μB/atom
- Theoretical density: 6.210 g/cm³
- ΔH_f (0 K): 15 meV/atom

# 4
VASP calculation (GGA-PBE) on a geometry-optimized Mg2CdBi2 structure.

Structure (POSCAR):
```
Mg2CdBi2
1.0
8.139 0.000 0.000
0.000 4.357 0.000
-3.516 0.000 7.928
Mg Cd Bi
4 2 4
Direct
0.039 0.250 0.241
0.381 0.750 0.868
0.619 0.250 0.132
0.961 0.750 0.759
0.479 0.750 0.347
0.521 0.250 0.653
0.188 0.750 0.502
0.223 0.250 0.007
0.777 0.750 0.993
0.812 0.250 0.498
```

Computed properties:
- Fermi-level density of states: 1.79 states/eV/f.u.
- Crystal system: monoclinic
- Space-group type: P2_1/m (11)
- Total moment: 0.000 μB/atom
- Theoretical density: 6.840 g/cm³
- ΔH_f (0 K): -87 meV/atom

# 5
VASP calculation (GGA-PBE) on a geometry-optimized MgCd2Bi structure.

Structure (POSCAR):
```
MgCd2Bi
1.0
2.458 1.419 4.986
-2.458 1.419 4.986
0.000 -2.838 4.986
Mg Cd Bi
1 2 1
Direct
0.000 0.000 0.000
0.262 0.262 0.262
0.530 0.530 0.530
0.761 0.761 0.761
```

Computed properties:
- Fermi-level density of states: 1.40 states/eV/f.u.
- Crystal system: trigonal
- Space-group type: R3m (160)
- Total moment: 0.000 μB/atom
- Theoretical density: 7.291 g/cm³
- ΔH_f (0 K): 3 meV/atom

# 6
VASP calculation (GGA-PBE) on a geometry-optimized MgCd4Bi structure.

Structure (POSCAR):
```
MgCd4Bi
1.0
0.000 4.202 4.202
4.202 0.000 4.202
4.202 4.202 0.000
Mg Cd Bi
1 4 1
Direct
0.000 0.000 0.000
0.123 0.626 0.626
0.626 0.123 0.626
0.626 0.626 0.123
0.626 0.626 0.626
0.250 0.250 0.250
```

Computed properties:
- Fermi-level density of states: 3.09 states/eV/f.u.
- Crystal system: cubic
- Space-group type: F-43m (216)
- Total moment: 0.000 μB/atom
- Theoretical density: 7.642 g/cm³
- ΔH_f (0 K): 53 meV/atom

# 7
VASP calculation (GGA-PBE) on a geometry-optimized MgCd4Bi structure.

Structure (POSCAR):
```
MgCd4Bi
1.0
3.139 -9.507 0.000
3.139 9.507 0.000
-1.547 0.000 5.077
Mg Cd Bi
2 8 2
Direct
0.183 0.817 0.750
0.817 0.183 0.250
0.153 0.386 0.803
0.218 0.305 0.303
0.305 0.218 0.803
0.386 0.153 0.303
0.614 0.847 0.697
0.695 0.782 0.197
0.782 0.695 0.697
0.847 0.614 0.197
0.266 0.734 0.250
0.734 0.266 0.750
```

Computed properties:
- Fermi-level density of states: 2.13 states/eV/f.u.
- Crystal system: monoclinic
- Space-group type: C2/c (15)
- Total moment: 0.000 μB/atom
- Theoretical density: 7.486 g/cm³
- ΔH_f (0 K): 3 meV/atom

# 8
VASP calculation (GGA-PBE) on a geometry-optimized Mg5Cd4Bi structure.

Structure (POSCAR):
```
Mg5Cd4Bi
1.0
3.703 0.000 0.000
0.000 3.703 0.000
0.000 0.000 16.663
Mg Cd Bi
5 4 1
Direct
0.000 0.000 0.000
0.000 0.000 0.192
0.000 0.000 0.385
0.000 0.000 0.615
0.000 0.000 0.808
0.500 0.500 0.096
0.500 0.500 0.287
0.500 0.500 0.713
0.500 0.500 0.904
0.500 0.500 0.500
```

Computed properties:
- Fermi-level density of states: 3.10 states/eV/f.u.
- Crystal system: tetragonal
- Space-group type: P4/mmm (123)
- Total moment: 0.000 μB/atom
- Theoretical density: 5.670 g/cm³
- ΔH_f (0 K): -84 meV/atom

# 9
VASP calculation (GGA-PBE) on a geometry-optimized MgCd2Bi structure.

Structure (POSCAR):
```
MgCd2Bi
1.0
4.722 0.000 0.000
0.000 4.442 0.000
-0.384 0.000 9.725
Mg Cd Bi
2 4 2
Direct
0.087 0.250 0.138
0.913 0.750 0.862
0.043 0.750 0.392
0.497 0.750 0.614
0.503 0.250 0.386
0.957 0.250 0.608
0.374 0.250 0.856
0.626 0.750 0.144
```

Computed properties:
- Fermi-level density of states: 1.23 states/eV/f.u.
- Crystal system: monoclinic
- Space-group type: P2_1/m (11)
- Total moment: 0.000 μB/atom
- Theoretical density: 7.459 g/cm³
- ΔH_f (0 K): -50 meV/atom

# 10
VASP calculation (GGA-PBE) on a geometry-optimized Mg4CdBi structure.

Structure (POSCAR):
```
Mg4CdBi
1.0
0.000 4.196 4.196
4.196 0.000 4.196
4.196 4.196 0.000
Mg Cd Bi
4 1 1
Direct
0.125 0.125 0.125
0.125 0.125 0.626
0.125 0.626 0.125
0.626 0.125 0.125
0.750 0.750 0.750
0.500 0.500 0.500
```

Computed properties:
- Fermi-level density of states: 3.69 states/eV/f.u.
- Crystal system: cubic
- Space-group type: F-43m (216)
- Total moment: 0.000 μB/atom
- Theoretical density: 4.703 g/cm³
- ΔH_f (0 K): 46 meV/atom